VASP calculation (PBE-GGA) on a relaxed TlSnB3 crystal.

Geometry as POSCAR:
```
TlSnB3
1.0
-4.153 1.931 0.448
-0.830 -2.639 3.678
1.800 3.238 2.730
B Sn Tl
3 1 1
Direct
0.500 0.000 0.000 B
0.000 0.500 0.000 B
0.000 0.000 0.500 B
0.500 0.500 0.500 Sn
0.000 0.000 0.000 Tl
```

**Calculated formation energy**: 2.316 eV per atom
**Volume**: 97.5 Å³ per cell
**Density of states at the Fermi level**: 0.429 states/eV/atom
**SG**: No. 221

=====

VASP calculation (PBE-GGA) on a relaxed Be6Mo7 crystal.

Geometry as POSCAR:
```
Be6Mo7
1.0
-2.783 7.817 3.183
-6.691 5.830 0.476
-5.790 4.195 5.279
Be Mo
6 7
Direct
0.333 0.333 0.333 Be
0.060 0.060 0.060 Be
0.667 0.667 0.667 Be
0.154 0.154 0.154 Be
0.940 0.940 0.940 Be
0.846 0.846 0.846 Be
0.584 0.079 0.584 Mo
0.584 0.584 0.079 Mo
0.416 0.921 0.416 Mo
0.079 0.584 0.584 Mo
0.921 0.416 0.416 Mo
0.500 0.500 0.500 Mo
0.416 0.416 0.921 Mo
```

**Calculated formation energy**: 0.608 eV per atom
**Volume**: 192.6 Å³ per cell
**Density of states at the Fermi level**: 0.603 states/eV/atom
**SG**: No. 166

=====

VASP calculation (PBE-GGA) on a relaxed MnFeBr crystal.

Geometry as POSCAR:
```
MnFeBr
1.0
4.074 0.000 0.000
2.037 3.528 0.000
2.037 1.176 3.327
Fe Br Mn
1 1 1
Direct
0.750 0.750 0.750 Fe
0.500 0.500 0.500 Br
0.000 0.000 0.000 Mn
```

**Volume**: 47.8 Å³ per cell
**Density of states at the Fermi level**: 1.488 states/eV/atom
**Formation energy from raw total energies**: 2.379 eV per formula unit
**SG**: No. 216

=====

VASP calculation (PBE-GGA) on a relaxed Mg2Ag3Sn crystal.

Geometry as POSCAR:
```
Mg2Ag3Sn
1.0
-2.589 -3.525 2.104
-2.397 -5.122 -5.339
5.540 -3.531 0.901
Mg Ag Sn
4 6 2
Direct
0.305 0.333 0.500 Mg
0.000 0.000 0.000 Mg
0.695 0.667 0.500 Mg
0.000 0.000 0.500 Mg
0.500 0.000 0.269 Ag
0.803 0.329 0.730 Ag
0.803 0.329 0.270 Ag
0.197 0.671 0.270 Ag
0.500 0.000 0.731 Ag
0.197 0.671 0.730 Ag
0.311 0.323 0.000 Sn
0.689 0.677 0.000 Sn
```

**Calculated formation energy**: -0.148 eV per atom
**Volume**: 234.9 Å³ per cell
**Density of states at the Fermi level**: 0.185 states/eV/atom
**SG**: No. 10

=====

VASP calculation (PBE-GGA) on a relaxed Ho2PaBe crystal.

Geometry as POSCAR:
```
Ho2PaBe
1.0
3.258 0.000 0.000
1.629 2.821 0.000
1.629 0.940 10.716
Pa Be Ho
1 1 2
Direct
0.000 0.000 0.000 Pa
0.500 0.500 0.500 Be
0.102 0.102 0.693 Ho
0.898 0.898 0.307 Ho
```

**Calculated formation energy**: 0.467 eV per atom
**Volume**: 98.5 Å³ per cell
**Density of states at the Fermi level**: 1.503 states/eV/atom
**SG**: No. 166

=====

VASP calculation (PBE-GGA) on a relaxed Ce2HfUN4 crystal.

Geometry as POSCAR:
```
Ce2HfUN4
1.0
3.399 0.000 0.000
0.000 5.876 0.083
0.000 -1.998 5.698
N Ce Hf U
4 2 1 1
Direct
0.000 0.253 0.785 N
0.000 0.747 0.215 N
0.500 0.234 0.212 N
0.500 0.766 0.788 N
0.000 0.500 0.500 Ce
0.500 0.000 0.500 Ce
0.000 0.000 0.000 Hf
0.500 0.500 0.000 U
```

**Volume**: 114.4 Å³ per cell
**Density of states at the Fermi level**: 1.016 states/eV/atom
**Formation energy from raw total energies**: -12.653 eV per formula unit
**SG**: No. 10

=====

VASP calculation (PBE-GGA) on a relaxed NdGa2CuAu4 crystal.

Geometry as POSCAR:
```
NdGa2CuAu4
1.0
4.494 0.000 0.000
2.247 3.892 0.000
2.247 1.297 8.780
Au Nd Cu Ga
4 1 1 2
Direct
0.399 0.399 0.804 Au
0.601 0.601 0.196 Au
0.864 0.864 0.407 Au
0.136 0.136 0.593 Au
0.000 0.000 0.000 Nd
0.500 0.500 0.500 Cu
0.244 0.244 0.269 Ga
0.756 0.756 0.731 Ga
```

**Calculated formation energy**: -0.391 eV per atom
**Volume**: 153.6 Å³ per cell
**Density of states at the Fermi level**: 0.421 states/eV/atom
**SG**: No. 166

=====

VASP calculation (PBE-GGA) on a relaxed Pm6Ge2Sb3Te crystal.

Geometry as POSCAR:
```
Pm6Ge2Sb3Te
1.0
-1.630 2.081 -3.514
6.350 -3.559 -5.054
-6.306 -7.500 1.235
Pm Sb Te Ge
6 3 1 2
Direct
0.670 0.576 0.340 Pm
0.330 0.424 0.660 Pm
0.669 0.096 0.339 Pm
0.993 0.742 0.986 Pm
0.007 0.258 0.014 Pm
0.331 0.904 0.661 Pm
0.500 0.500 0.000 Sb
0.837 0.167 0.674 Sb
0.163 0.833 0.326 Sb
0.500 0.000 0.000 Te
0.167 0.334 0.335 Ge
0.833 0.666 0.665 Ge
```

**Volume**: 365.2 Å³ per cell
**Density of states at the Fermi level**: 0.375 states/eV/atom
**Formation energy from raw total energies**: -13.179 eV per formula unit
**SG**: No. 12